# 1
This record from Alexandria describes a relaxed Cs2HgRhI6 crystal. The functional is PBE-GGA.

Unit cell a=8.641 b=8.874 c=11.039 alpha=90.00 beta=90.00 gamma=90.00
Sites, in units of the cell vectors:
1 Cs 0.500 0.754 0.251
2 Cs 0.000 0.246 0.751
3 Cs 0.500 0.754 0.749
4 Cs 0.000 0.246 0.249
5 Hg 0.000 0.690 0.500
6 Hg 0.500 0.310 0.000
7 Rh 0.500 0.243 0.500
8 Rh 0.000 0.757 0.000
9 I 0.500 0.213 0.252
10 I 0.500 0.213 0.748
11 I 0.000 0.787 0.248
12 I 0.000 0.787 0.752
13 I 0.277 0.029 0.500
14 I 0.723 0.029 0.500
15 I 0.281 0.467 0.500
16 I 0.719 0.467 0.500
17 I 0.781 0.533 0.000
18 I 0.219 0.533 0.000
19 I 0.223 0.971 0.000
20 I 0.777 0.971 0.000

Summary:
space group: Pmmn
E above lowest polymorph: 0.0000 eV/atom
magnetic moment: 0.00 μB/atom
E_form (uncorrected): -0.72 eV per atom

# 2
This record from Alexandria describes a relaxed Ho3Zn9In2 crystal. The functional is PBE-GGA.

Unit cell a=4.327 b=8.326 c=8.326 alpha=70.71 beta=74.94 gamma=74.94
Sites, in units of the cell vectors:
1 Ho 0.000 0.000 0.000
2 Ho 0.704 0.296 0.296
3 Ho 0.296 0.704 0.704
4 Zn 0.000 0.500 0.500
5 Zn 0.662 0.966 0.709
6 Zn 0.338 0.034 0.291
7 Zn 0.662 0.709 0.966
8 Zn 0.338 0.291 0.034
9 Zn 0.850 0.877 0.423
10 Zn 0.150 0.123 0.577
11 Zn 0.850 0.423 0.877
12 Zn 0.150 0.577 0.123
13 In 0.500 0.303 0.697
14 In 0.500 0.697 0.303

Summary:
space group: Immm
ΔE_f: -0.305 eV per atom
magnetic moment: 0.00 μB/atom

# 3
This record from Alexandria describes a relaxed Co2Se3Cl crystal. The functional is PBE-GGA.

Unit cell a=3.414 b=6.754 c=10.647 alpha=85.59 beta=80.77 gamma=75.36
Sites, in units of the cell vectors:
1 Co 0.242 0.638 0.877
2 Co 0.758 0.362 0.123
3 Co 0.739 0.891 0.630
4 Co 0.261 0.109 0.370
5 Se 0.126 0.970 0.778
6 Se 0.874 0.030 0.222
7 Se 0.359 0.302 0.979
8 Se 0.641 0.698 0.021
9 Se 0.643 0.198 0.517
10 Se 0.357 0.802 0.483
11 Cl 0.858 0.555 0.730
12 Cl 0.142 0.445 0.270

Summary:
space group: C2/m
magnetic moment: 0.00 μB/atom
E_form (uncorrected): -0.33 eV per atom

# 4
This record from Alexandria describes a relaxed CaLa2Mg9 crystal. The functional is PBE-GGA.

Unit cell a=6.162 b=6.162 c=10.682 alpha=73.24 beta=73.24 gamma=60.00
Sites, in units of the cell vectors:
1 Ca 0.000 0.000 0.000
2 La 0.854 0.854 0.438
3 La 0.146 0.146 0.562
4 Mg 0.666 0.666 0.003
5 Mg 0.334 0.334 0.997
6 Mg 0.500 0.500 0.500
7 Mg 0.415 0.415 0.250
8 Mg 0.919 0.415 0.250
9 Mg 0.415 0.919 0.250
10 Mg 0.585 0.585 0.750
11 Mg 0.585 0.081 0.750
12 Mg 0.081 0.585 0.750

Summary:
space group: R-3m
ΔE_f: -0.070 eV per atom
magnetic moment: 0.00 μB/atom

# 5
This record from Alexandria describes a relaxed ThGa3CuIr crystal. The functional is PBE-GGA.

Unit cell a=5.963 b=6.293 c=6.785 alpha=117.63 beta=90.00 gamma=90.00
Sites, in units of the cell vectors:
1 Th 0.750 0.279 0.558
2 Th 0.250 0.721 0.442
3 Ga 0.250 0.153 0.306
4 Ga 0.000 0.292 0.000
5 Ga 0.500 0.708 0.000
6 Ga 0.500 0.292 0.000
7 Ga 0.000 0.708 0.000
8 Ga 0.750 0.847 0.694
9 Cu 0.250 0.952 0.904
10 Cu 0.750 0.048 0.096
11 Ir 0.250 0.356 0.712
12 Ir 0.750 0.644 0.288

Summary:
space group: Cmcm
ΔE_f: -0.278 eV per atom
magnetic moment: 0.00 μB/atom

# 6
This record from Alexandria describes a relaxed MgAsOs2 crystal. The functional is PBE-GGA.

Unit cell a=2.890 b=2.890 c=8.524 alpha=90.00 beta=90.00 gamma=117.42
Sites, in units of the cell vectors:
1 As 0.500 0.500 0.250
2 Mg 0.500 0.500 0.750
3 Os 0.000 0.000 0.018
4 Os 0.000 0.000 0.482

Summary:
space group: Cmmm
ΔE_f: 0.534 eV per atom
E above lowest polymorph: 0.3997 eV/atom
magnetic moment: 0.00 μB/atom

# 7
This record from Alexandria describes a relaxed RbBeI2O crystal. The functional is PBE-GGA.

Unit cell a=7.110 b=3.075 c=7.110 alpha=90.00 beta=90.00 gamma=90.00
Sites, in units of the cell vectors:
1 I 0.000 0.000 0.500
2 I 0.500 0.000 0.000
3 Be 0.000 0.500 0.000
4 O 0.000 0.000 0.000
5 Rb 0.500 0.500 0.500

Summary:
space group: P4/mmm
E above lowest polymorph: 0.0000 eV/atom
magnetic moment: 0.00 μB/atom
E_form (uncorrected): -1.06 eV per atom

# 8
This record from Alexandria describes a relaxed SbCl2 crystal. The functional is PBE-GGA.

Unit cell a=8.633 b=8.633 c=3.550 alpha=90.00 beta=90.00 gamma=120.00
Sites, in units of the cell vectors:
1 Sb 0.333 0.667 0.000
2 Sb 0.667 0.333 0.000
3 Sb 0.000 0.000 0.500
4 Cl 0.233 0.000 0.000
5 Cl 0.000 0.233 0.000
6 Cl 0.767 0.767 0.000
7 Cl 0.560 0.000 0.500
8 Cl 0.000 0.560 0.500
9 Cl 0.440 0.440 0.500

Summary:
space group: P-62m
E above lowest polymorph: 0.3810 eV/atom
magnetic moment: 0.00 μB/atom
E_form (uncorrected): -0.32 eV per atom

# 9
This record from Alexandria describes a relaxed Ac2Ni2Hg crystal. The functional is PBE-GGA.

Unit cell a=4.067 b=7.818 c=7.818 alpha=90.00 beta=90.00 gamma=90.00
Sites, in units of the cell vectors:
1 Ac 0.500 0.181 0.681
2 Ac 0.500 0.681 0.819
3 Ac 0.500 0.819 0.319
4 Ac 0.500 0.319 0.181
5 Ni 0.000 0.390 0.890
6 Ni 0.000 0.890 0.610
7 Ni 0.000 0.610 0.110
8 Ni 0.000 0.110 0.390
9 Hg 0.000 0.000 0.000
10 Hg 0.000 0.500 0.500

Summary:
space group: P4/mbm
ΔE_f: -0.349 eV per atom
E above lowest polymorph: 0.0346 eV/atom
magnetic moment: 0.00 μB/atom

# 10
This record from Alexandria describes a relaxed CeNiIr crystal. The functional is PBE-GGA.

Unit cell a=3.857 b=4.174 c=4.174 alpha=120.00 beta=90.00 gamma=90.00
Last column: magnetic moment on the atom in μB.
Sites, in units of the cell vectors:
1 Ni 0.167 0.333 0.667  0.07
2 Ir 0.167 0.000 0.000  0.00
3 Ce 0.667 0.667 0.333  0.50

Summary:
space group: P-6m2
ΔE_f: -0.486 eV per atom
magnetic moment: 0.22 μB/atom

# 11
This record from Alexandria describes a relaxed LuCo4Rh crystal. The functional is PBE-GGA.

Unit cell a=4.858 b=4.858 c=4.858 alpha=60.00 beta=60.00 gamma=60.00
Last column: magnetic moment on the atom in μB.
Sites, in units of the cell vectors:
1 Rh 0.250 0.250 0.250  0.70
2 Lu 0.000 0.000 0.000  -0.28
3 Co 0.625 0.625 0.125  1.63
4 Co 0.625 0.125 0.625  1.63
5 Co 0.625 0.625 0.625  1.63
6 Co 0.125 0.625 0.625  1.63

Summary:
space group: F-43m
ΔE_f: -0.191 eV per atom
magnetic moment: 1.14 μB/atom

# 12
This record from Alexandria describes a relaxed ScCr2Sb crystal. The functional is PBE-GGA.

Unit cell a=5.189 b=5.189 c=4.102 alpha=66.71 beta=66.71 gamma=46.36
Last column: magnetic moment on the atom in μB.
Sites, in units of the cell vectors:
1 Cr 0.999 0.999 0.001  3.05
2 Cr 0.251 0.251 0.249  -3.10
3 Sb 0.500 0.500 0.500  -0.01
4 Sc 0.750 0.750 0.750  0.00

Summary:
space group: Imm2
magnetic moment: 0.01 μB/atom
E_form (uncorrected): 0.01 eV per atom